--- one ---
The following is a PBE calculation of BeTlBr3 after structural relaxation, from the Alexandria database.

## Properties
* V: 25.2 A^3/atom

abc: 5.0101 5.0101 5.0101
angles: 90.00 90.00 90.00
Sites, in units of the cell vectors:
1 Be 0.0000 0.0000 0.0000
2 Tl 0.5000 0.5000 0.5000
3 Br 0.0000 0.0000 0.5000
4 Br 0.0000 0.5000 0.0000
5 Br 0.5000 0.0000 0.0000

=====

--- two ---
The following is a PBE calculation of BeTlBr3 after structural relaxation, from the Alexandria database.

## Properties
* V: 35.2 A^3/atom

abc: 6.5261 7.4344 7.4362
angles: 79.10 85.05 84.99
Sites, in units of the cell vectors:
1 Be 0.0000 0.1554 0.3457
2 Be 0.0000 0.8446 0.6543
3 Tl 0.1645 0.6658 0.1648
4 Tl 0.8355 0.3342 0.8352
5 Br 0.1809 0.0959 0.5968
6 Br 0.2072 0.1662 0.1028
7 Br 0.2076 0.6020 0.6636
8 Br 0.7924 0.3980 0.3364
9 Br 0.7928 0.8338 0.8972
10 Br 0.8191 0.9041 0.4032

=====

The least stable of them is one.